Record 1
First-principles (PBE-GGA) data for a relaxed structure of RbTcPd3, as listed in Alexandria.

The structure in POSCAR format:
```
RbTcPd3
1.0
5.069 0.000 0.000
0.000 5.069 0.000
0.000 0.000 5.069
Rb Tc Pd
1 1 3
direct
0.000 0.000 0.000
0.500 0.500 0.500
0.000 0.000 0.500
0.000 0.500 0.000
0.500 0.000 0.000
```

**Formation enthalpy at 0 K**: 2.05 eV per atom
**Offset from the most stable computed form**: 1.260 eV per atom



Record 2
First-principles (PBE-GGA) data for a relaxed structure of RbTcPd, as listed in Alexandria.

The structure in POSCAR format:
```
RbTcPd
1.0
5.230 0.000 0.000
-2.615 4.529 0.000
0.000 0.000 5.996
Rb Tc Pd
2 2 2
direct
0.000 0.000 0.000
0.000 0.000 0.500
0.333 0.667 0.250
0.667 0.333 0.750
0.333 0.667 0.750
0.667 0.333 0.250
```

**Formation enthalpy at 0 K**: 1.33 eV per atom
**Offset from the most stable computed form**: 1.060 eV per atom



Record 3
First-principles (PBE-GGA) data for a relaxed structure of RbTcPd, as listed in Alexandria.

The structure in POSCAR format:
```
RbTcPd
1.0
3.814 0.000 0.000
1.903 4.477 0.000
1.460 1.856 11.320
Rb Tc Pd
2 2 2
direct
0.000 0.000 0.000
0.444 0.643 0.613
0.079 0.592 0.327
0.676 0.478 0.222
0.383 0.029 0.269
0.766 0.137 0.433
```

**Formation enthalpy at 0 K**: 0.45 eV per atom
**Offset from the most stable computed form**: 0.176 eV per atom



Record 4
First-principles (PBE-GGA) data for a relaxed structure of RbTcPd2, as listed in Alexandria.

The structure in POSCAR format:
```
RbTcPd2
1.0
-3.901 3.901 3.246
3.901 -3.901 3.246
3.901 3.901 -3.246
Rb Tc Pd
2 2 4
direct
0.000 0.000 0.000
0.750 0.250 0.500
0.250 0.750 0.500
0.500 0.500 0.000
0.190 0.625 0.065
0.375 0.440 0.565
0.560 0.125 0.935
0.875 0.810 0.435
```

**Formation enthalpy at 0 K**: 0.96 eV per atom
**Offset from the most stable computed form**: 0.000 eV per atom



Record 5
First-principles (PBE-GGA) data for a relaxed structure of Rb2TcPd, as listed in Alexandria.

The structure in POSCAR format:
```
Rb2TcPd
1.0
0.000 4.085 4.085
4.085 0.000 4.085
4.085 4.085 0.000
Rb Tc Pd
2 1 1
direct
0.250 0.250 0.250
0.750 0.750 0.750
0.000 0.000 0.000
0.500 0.500 0.500
```

**Formation enthalpy at 0 K**: 1.43 eV per atom
**Offset from the most stable computed form**: 0.401 eV per atom



Record 6
First-principles (PBE-GGA) data for a relaxed structure of RbTcPd, as listed in Alexandria.

The structure in POSCAR format:
```
RbTcPd
1.0
3.379 0.000 0.000
0.000 4.033 0.000
0.646 1.947 12.881
Rb Tc Pd
2 2 2
direct
0.233 0.154 0.178
0.767 0.846 0.822
0.262 0.028 0.440
0.738 0.972 0.560
0.232 0.444 0.618
0.768 0.556 0.382
```

**Formation enthalpy at 0 K**: 0.39 eV per atom
**Offset from the most stable computed form**: 0.123 eV per atom



The records above yield calculated total energy values of -3.329, -4.177, -5.061, -4.468, -2.945, -5.114 eV per atom, respectively.
The records above yield calculated volume values of 130.24, 142.01, 193.30, 197.53, 136.29, 175.54 Å³/cell, respectively.